A plane-wave DFT calculation with PBE with a Hubbard U was carried out for a relaxed structure of VZnBiO5.

a b c (Å): 5.355 11.845 8.048
angles (deg): 90.00 112.09 90.00
Sites, in units of the cell vectors:
V (0.174, 0.148, 0.463)
V (0.174, 0.352, 0.963)
V (0.826, 0.648, 0.037)
V (0.826, 0.852, 0.537)
Zn (0.455, 0.584, 0.332)
Zn (0.455, 0.916, 0.832)
Zn (0.545, 0.084, 0.168)
Zn (0.545, 0.416, 0.668)
Bi (0.063, 0.595, 0.679)
Bi (0.063, 0.905, 0.179)
Bi (0.937, 0.095, 0.821)
Bi (0.937, 0.405, 0.321)
O (0.164, 0.676, 0.150)
O (0.164, 0.824, 0.650)
O (0.226, 0.076, 0.662)
O (0.226, 0.424, 0.162)
O (0.241, 0.524, 0.484)
O (0.241, 0.976, 0.984)
O (0.294, 0.067, 0.324)
O (0.294, 0.433, 0.824)
O (0.313, 0.216, 0.005)
O (0.313, 0.284, 0.505)
O (0.687, 0.716, 0.495)
O (0.687, 0.784, 0.995)
O (0.706, 0.567, 0.176)
O (0.706, 0.933, 0.676)
O (0.759, 0.024, 0.016)
O (0.759, 0.476, 0.516)
O (0.774, 0.576, 0.838)
O (0.774, 0.924, 0.338)
O (0.836, 0.176, 0.350)
O (0.836, 0.324, 0.850)

**Total DFT energy (no corrections)**: -6.2750 eV per atom
**Magnetization**: 0.00 μB/atom
**DOS at the Fermi energy**: 0.00 states/eV/atom
**Polymorph energy (0 for the lowest one)**: 0.00 kJ per mole of atoms
**SG**: P2_1/c, No. 14